1.
This record from Alexandria describes a crystal of MgMn4Cu3O12 relaxed with PBEsol. The functional is meta-GGA SCAN.

abc: 7.1052 7.1052 7.1052
angles: 90.00 90.00 90.00
Closest atoms and distances in Å follow each position.
Space group Im-3 (No. 204)
Unique sites:
Mg: 0.0000 0.0000 0.0000 (multiplicity 2)  12 O 2.47
Mn: 0.2500 0.2500 0.2500 (multiplicity 8)  6 O 1.88
Cu: 0.0000 0.0000 0.5000 (multiplicity 6)  4 O 1.90
O: 0.0000 0.2995 0.1769 (multiplicity 24)  2 Mn 1.88, 1 Cu 1.90

Calculated values
* raw formation energy: -35.81 eV per formula unit

2.
This record from Alexandria describes a crystal of Si2TcI relaxed with PBEsol. The functional is meta-GGA SCAN.

abc: 6.4346 6.4346 6.4346
angles: 90.00 90.00 90.00
Closest atoms and distances in Å follow each position.
Space group Fm-3m (No. 225)
Unique sites:
Si: 0.2500 0.2500 0.2500 (multiplicity 8)  4 Tc 2.79, 4 I 2.79
Tc: 0.0000 0.0000 0.0000 (multiplicity 4)  8 Si 2.79
I: 0.0000 0.0000 0.5000 (multiplicity 4)  8 Si 2.79

Calculated values
* raw formation energy: 5.07 eV per formula unit

3.
This record from Alexandria describes a crystal of BeAgSb2F relaxed with PBEsol. The functional is meta-GGA SCAN.

abc: 5.2801 5.2801 4.0470
angles: 90.00 90.00 90.00
Closest atoms and distances in Å follow each position.
Space group P4/mmm (No. 123)
Unique sites:
Be: 0.0000 0.0000 0.0000 (multiplicity 1)  8 Sb 3.33
Ag: 0.5000 0.5000 0.5000 (multiplicity 1)  2 F 2.02
Sb: 0.0000 0.5000 0.5000 (multiplicity 2)  2 Ag 2.64
F: 0.5000 0.5000 0.0000 (multiplicity 1)  2 Ag 2.02

Calculated values
* raw formation energy: 1.96 eV per formula unit

4.
This record from Alexandria describes a crystal of Sc2In relaxed with PBEsol. The functional is meta-GGA SCAN.

abc: 3.1226 3.1226 28.1542
angles: 90.00 90.00 90.00
Closest atoms and distances in Å follow each position.
Space group I4_1/amd (No. 141, origin choice 2)
Unique sites:
Sc: 0.0000 0.2500 0.2991 (multiplicity 8)  4 In 3.07, 6 Sc 3.12-3.18
In: 0.0000 0.2500 0.8750 (multiplicity 4)  8 Sc 3.07, 4 In 3.12

Calculated values
* DFT formation energy: -0.259 eV/atom

5.
This record from Alexandria describes a crystal of RbAsWBr2 relaxed with PBEsol. The functional is meta-GGA SCAN.

abc: 6.1947 6.1947 6.1361
angles: 90.00 90.00 90.00
Closest atoms and distances in Å follow each position.
Space group P4/mmm (No. 123)
Unique sites:
Rb: 0.0000 0.0000 0.0000 (multiplicity 1)  2 As 3.07, 4 Br 3.10
As: 0.0000 0.0000 0.5000 (multiplicity 1)  2 Rb 3.07
W: 0.5000 0.5000 0.5000 (multiplicity 1)  8 Br 4.36, 4 As 4.38
Br: 0.0000 0.5000 0.0000 (multiplicity 2)  2 Rb 3.10

Calculated values
* raw formation energy: 8.24 eV per formula unit

6.
This record from Alexandria describes a crystal of Zn2CrCu relaxed with PBEsol. The functional is meta-GGA SCAN.

abc: 3.5439 3.5512 7.7977
angles: 90.00 90.00 90.00
Closest atoms and distances in Å follow each position.
Space group Cmm2 (No. 35)
Unique sites:
Zn: 0.0000 0.0000 0.0000 (multiplicity 2)  8 Zn 2.51-2.75, 4 Cu 2.59
Zn: 0.0000 0.5000 0.2685 (multiplicity 2)  8 Zn 2.51-2.75, 4 Cr 2.63
Cr: 0.0000 0.0000 0.5182 (multiplicity 2)  4 Cr 2.51, 4 Cu 2.57-2.58, 4 Zn 2.63
Cu: 0.0000 0.5000 0.7577 (multiplicity 2)  4 Cu 2.51, 4 Cr 2.57-2.58, 4 Zn 2.59

Calculated values
* DFT formation energy: 0.120 eV/atom

no.,M_tot (μB per atom)
1,0.450
2,0.001
3,0.000
4,0.442
5,1.594
6,0.000